Material: LaEr2NiSn3Ir2
Method: DFT, PBE-GGA
State: optimized geometry

* total moment: 0.000 μB per atom
* E: -112.60 eV/cell

```
data_LaEr2NiSn3Ir2
_chemical_formula_sum 'La2 Er4 Ni2 Sn6 Ir4'
_cell_length_a 3.953
_cell_length_b 12.964
_cell_length_c 7.480
_cell_angle_alpha 90.00
_cell_angle_beta 90.00
_cell_angle_gamma 90.00
_symmetry_space_group_name_H-M 'A m m 2'
_symmetry_Int_Tables_number 38
loop_
_symmetry_equiv_pos_as_xyz
'x,y,z'
'-x,-y,z'
'-x,y,z'
'x,-y,z'
'x,y+1/2,z+1/2'
'-x,-y+1/2,z+1/2'
'-x,y+1/2,z+1/2'
'x,-y+1/2,z+1/2'
loop_
_atom_site_label
_atom_site_type_symbol
_atom_site_fract_x
_atom_site_fract_y
_atom_site_fract_z
La1 La 0.000 0.000 0.000
Er1 Er 0.000 0.205 0.618
Ni1 Ni 0.000 0.000 0.420
Sn1 Sn 0.500 0.000 0.660
Sn2 Sn 0.500 0.127 0.293
Ir1 Ir 0.500 0.169 0.915
```